Record 1
Below is a relaxed Nd2CuTe crystal, with properties calculated at the GGA-PBE level.

a b c (Å): 4.2619 4.2619 22.4036
angles (deg): 90.00 90.00 120.00
Space group R-3m (No. 166, hexagonal axes)
One atom of each set of equivalent atoms:
Nd (0.0000, 0.0000, 0.2428) x6
Cu (0.0000, 0.0000, 0.5000) x3
Te (0.0000, 0.0000, 0.0000) x3

Properties
- Electronic total energy: -4.90 eV/atom

=====

Record 2
Below is a relaxed Al3BiW crystal, with properties calculated at the GGA-PBE level.

a b c (Å): 4.9339 4.9339 4.9339
angles (deg): 90.00 90.00 90.00
Space group Pm-3m (No. 221)
One atom of each set of equivalent atoms:
Al (0.0000, 0.0000, 0.5000) x3
Bi (0.5000, 0.5000, 0.5000) x1
W (0.0000, 0.0000, 0.0000) x1

Properties
- Electronic total energy: -4.91 eV/atom
- E_form: 3.536 eV per formula unit

=====

Record 3
Below is a relaxed La2ReBr crystal, with properties calculated at the GGA-PBE level.

a b c (Å): 4.2060 4.2060 23.7764
angles (deg): 90.00 90.00 120.00
Space group R-3m (No. 166, hexagonal axes)
One atom of each set of equivalent atoms:
La (0.0000, 0.0000, 0.2332) x6
Re (0.0000, 0.0000, 0.5000) x3
Br (0.0000, 0.0000, 0.0000) x3

Properties
- Electronic total energy: -6.35 eV/atom

=====

Record 4
Below is a relaxed Sm2TmPaP4 crystal, with properties calculated at the GGA-PBE level.

a b c (Å): 6.9446 4.0313 6.9942
angles (deg): 90.00 109.43 90.00
Space group P2/m (No. 10)
One atom of each set of equivalent atoms:
Sm (0.0000, 0.0000, 0.0000) x1
Sm (0.5000, 0.5000, 0.0000) x1
Tm (0.0000, 0.5000, 0.5000) x1
Pa (0.5000, 0.0000, 0.5000) x1
P (0.2487, 0.0000, 0.7374) x2
P (0.2550, 0.5000, 0.2620) x2

Properties
- Electronic total energy: -7.16 eV/atom
- E_form: -12.211 eV per formula unit

=====

Record 5
Below is a relaxed TlSnSbAu2 crystal, with properties calculated at the GGA-PBE level.

a b c (Å): 12.8889 4.5105 10.6820
angles (deg): 90.00 121.53 90.00
Space group C2/m (No. 12)
One atom of each set of equivalent atoms:
Tl (0.0936, 0.0000, 0.1680) x4
Sn (0.1426, 0.5000, 0.8704) x4
Sb (0.1244, 0.0000, 0.5188) x4
Au (0.1065, 0.5000, 0.3597) x4
Au (0.2483, 0.0000, 0.8223) x4

Properties
- Electronic total energy: -3.49 eV/atom

=====

Record 6
Below is a relaxed ErScSnRh crystal, with properties calculated at the GGA-PBE level.

a b c (Å): 6.9828 6.9828 6.9828
angles (deg): 90.00 90.00 90.00
Space group F-43m (No. 216)
One atom of each set of equivalent atoms:
Er (0.0000, 0.0000, 0.0000) x4
Sc (0.0000, 0.0000, 0.5000) x4
Sn (0.2500, 0.2500, 0.7500) x4
Rh (0.2500, 0.2500, 0.2500) x4

Properties
- Electronic total energy: -6.23 eV/atom
- E_form: -2.686 eV per formula unit

=====

Record 7
Below is a relaxed Sr2Zn4Cd5 crystal, with properties calculated at the GGA-PBE level.

a b c (Å): 13.0408 6.0798 9.0183
angles (deg): 90.00 133.75 90.00
Space group C2/m (No. 12)
One atom of each set of equivalent atoms:
Sr (0.2136, 0.0000, 0.2140) x4
Zn (0.2471, 0.0000, 0.5968) x4
Zn (0.2479, 0.0000, 0.8991) x4
Cd (0.9998, 0.2527, 0.3087) x8
Cd (0.0000, 0.5000, 0.0000) x2

Properties
- Electronic total energy: -1.35 eV/atom
- E_form: -1.794 eV per formula unit

=====

Record 8
Below is a relaxed DyHo2Sn crystal, with properties calculated at the GGA-PBE level.

a b c (Å): 3.5572 3.5572 9.2333
angles (deg): 90.00 90.00 90.00
Space group P4/mmm (No. 123)
One atom of each set of equivalent atoms:
Dy (0.0000, 0.0000, 0.0000) x1
Ho (0.5000, 0.5000, 0.2714) x2
Sn (0.0000, 0.0000, 0.5000) x1

Properties
- Electronic total energy: -4.74 eV/atom
- E_form: -1.204 eV per formula unit

=====

Record 9
Below is a relaxed ZrTa3Zn crystal, with properties calculated at the GGA-PBE level.

a b c (Å): 4.9055 4.9055 4.9055
angles (deg): 90.00 90.00 90.00
Space group Pm-3m (No. 221)
One atom of each set of equivalent atoms:
Zr (0.0000, 0.0000, 0.0000) x1
Ta (0.0000, 0.0000, 0.5000) x3
Zn (0.5000, 0.5000, 0.5000) x1

Properties
- Electronic total energy: -7.10 eV/atom
- E_form: 9.867 eV per formula unit

=====

Record 10
Below is a relaxed Pr4TcBr5 crystal, with properties calculated at the GGA-PBE level.

a b c (Å): 18.9507 4.0001 9.6020
angles (deg): 90.00 105.97 90.00
Space group C2/m (No. 12)
One atom of each set of equivalent atoms:
Pr (0.0030, 0.0000, 0.2383) x4
Pr (0.1443, 0.5000, 0.0775) x4
Tc (0.0000, 0.5000, 0.0000) x2
Br (0.0000, 0.5000, 0.5000) x2
Br (0.1684, 0.0000, 0.8494) x4
Br (0.1693, 0.0000, 0.3257) x4

Properties
- Electronic total energy: -5.07 eV/atom

=====

Record 11
Below is a relaxed Cd2Bi2P crystal, with properties calculated at the GGA-PBE level.

a b c (Å): 6.9141 6.9141 5.5421
angles (deg): 90.00 90.00 90.00
Space group P4/mbm (No. 127)
One atom of each set of equivalent atoms:
Cd (0.1456, 0.3544, 0.0000) x4
Bi (0.1764, 0.6764, 0.5000) x4
P (0.0000, 0.0000, 0.0000) x2

Properties
- Electronic total energy: -2.69 eV/atom
- E_form: 1.570 eV per formula unit

=====

Record 12
Below is a relaxed Al2ZnCd crystal, with properties calculated at the GGA-PBE level.

a b c (Å): 4.1217 4.1217 18.5783
angles (deg): 90.00 90.00 90.00
Space group I-42d (No. 122)
One atom of each set of equivalent atoms:
Al (0.2315, 0.2500, 0.1250) x8
Zn (0.0000, 0.0000, 0.0000) x4
Cd (0.0000, 0.0000, 0.5000) x4

Properties
- Electronic total energy: -2.23 eV/atom
- E_form: 0.766 eV per formula unit

=====

Record 13
Below is a relaxed Ce2FeB2Ru5 crystal, with properties calculated at the GGA-PBE level.

a b c (Å): 9.6214 9.6214 3.1059
angles (deg): 90.00 90.00 90.00
Space group P4/mbm (No. 127)
One atom of each set of equivalent atoms:
Ce (0.1771, 0.3229, 0.0000) x4
Fe (0.0000, 0.0000, 0.0000) x2
B (0.1226, 0.6226, 0.0000) x4
Ru (0.0000, 0.5000, 0.5000) x2
Ru (0.0702, 0.7831, 0.5000) x8

Properties
- Electronic total energy: -8.39 eV/atom
- E_form: -3.793 eV per formula unit

=====

Record 14
Below is a relaxed Tm4SnPd15 crystal, with properties calculated at the GGA-PBE level.

a b c (Å): 4.0896 4.0896 20.3531
angles (deg): 90.00 90.00 90.00
Space group P4/mmm (No. 123)
One atom of each set of equivalent atoms:
Tm (0.0000, 0.0000, 0.1003) x2
Tm (0.0000, 0.0000, 0.3006) x2
Sn (0.0000, 0.0000, 0.5000) x1
Pd (0.0000, 0.5000, 0.0000) x2
Pd (0.0000, 0.5000, 0.2013) x4
Pd (0.0000, 0.5000, 0.4033) x4
Pd (0.5000, 0.5000, 0.1012) x2
Pd (0.5000, 0.5000, 0.3028) x2
Pd (0.5000, 0.5000, 0.5000) x1

Properties
- Electronic total energy: -5.82 eV/atom
- E_form: -16.667 eV per formula unit

=====

Record 15
Below is a relaxed PmGaIr2 crystal, with properties calculated at the GGA-PBE level.

a b c (Å): 3.1766 3.1766 7.0300
angles (deg): 90.00 90.00 90.00
Space group P4/mmm (No. 123)
One atom of each set of equivalent atoms:
Pm (0.0000, 0.0000, 0.0000) x1
Ga (0.0000, 0.0000, 0.5000) x1
Ir (0.5000, 0.5000, 0.2944) x2

Properties
- Electronic total energy: -6.79 eV/atom
- E_form: -1.655 eV per formula unit

=====

Record 16
Below is a relaxed Ba2CdSb crystal, with properties calculated at the GGA-PBE level.

a b c (Å): 8.4846 8.4846 8.4846
angles (deg): 90.00 90.00 90.00
Space group Fm-3m (No. 225)
One atom of each set of equivalent atoms:
Ba (0.2500, 0.2500, 0.2500) x8
Cd (0.0000, 0.0000, 0.0000) x4
Sb (0.0000, 0.0000, 0.5000) x4

Properties
- Electronic total energy: -2.88 eV/atom

=====

Record 17
Below is a relaxed BaSmOs2O8 crystal, with properties calculated at the GGA-PBE level.

a b c (Å): 5.9835 5.9835 7.6950
angles (deg): 90.00 90.00 120.00
Space group P-3m1 (No. 164)
One atom of each set of equivalent atoms:
Ba (0.0000, 0.0000, 0.0000) x1
Sm (0.0000, 0.0000, 0.5000) x1
Os (0.3333, 0.6667, 0.7802) x2
O (0.1654, 0.3308, 0.7020) x6
O (0.3333, 0.6667, 0.0144) x2

Properties
- Electronic total energy: -7.38 eV/atom